No. 1
# LaCrMo2 PBE-GGA relaxed
# VASP energy   -8.594 eV per atom
# N(E_F)   1.568 states/eV per atom
# ΔE to the lowest computed polymorph   45 meV/atom
# Theoretical density   8.6 g/cm³
data_LaCrMo2
_chemical_formula_sum 'La1 Cr1 Mo2'
_cell_length_a 3.037
_cell_length_b 3.066
_cell_length_c 7.939
_cell_angle_alpha 90.00
_cell_angle_beta 90.00
_cell_angle_gamma 90.00
_space_group_name_H-M_alt 'P 1'
_space_group_IT_number 1
loop_
_space_group_symop_operation_xyz
'x,y,z'
loop_
_atom_site_label
_atom_site_type_symbol
_atom_site_fract_x
_atom_site_fract_y
_atom_site_fract_z
La1 La 0.000 0.000 0.000
Cr1 Cr 0.000 0.000 0.500
Mo1 Mo 0.500 0.500 0.319
Mo2 Mo 0.500 0.500 0.681

No. 2
# Cs2SbPbCl PBE-GGA relaxed
# VASP energy   -2.340 eV per atom
# N(E_F)   1.269 states/eV per atom
# Theoretical density   3.6 g/cm³
# Raw formation energy   -6 kJ per mole of atoms
data_Cs2SbPbCl
_chemical_formula_sum 'Cs2 Sb1 Pb1 Cl1'
_cell_length_a 7.380
_cell_length_b 7.380
_cell_length_c 5.401
_cell_angle_alpha 90.00
_cell_angle_beta 90.00
_cell_angle_gamma 90.00
_space_group_name_H-M_alt 'P 1'
_space_group_IT_number 1
loop_
_space_group_symop_operation_xyz
'x,y,z'
loop_
_atom_site_label
_atom_site_type_symbol
_atom_site_fract_x
_atom_site_fract_y
_atom_site_fract_z
Cs1 Cs 0.000 0.500 0.000
Cs2 Cs 0.500 0.000 0.000
Sb1 Sb 0.000 0.000 0.500
Pb1 Pb 0.500 0.500 0.000
Cl1 Cl 0.500 0.500 0.500